Record 1
Rb2Hg2Br PBE-GGA relaxed; raw formation energy = -0.533 eV/atom; energy above the most stable polymorph in this dataset = 128 meV/atom
1.0
-3.4489 3.4489 5.0665
3.4489 -3.4489 5.0665
3.4489 3.4489 -5.0665
Rb Hg Br
2 2 1
direct
0.2500 0.7500 0.5000
0.7500 0.2500 0.5000
0.1482 0.1482 0.0000
0.8518 0.8518 0.0000
0.5000 0.5000 0.0000

Record 2
Sr3TiMn PBE-GGA relaxed; energy = -16.48 eV/cell
1.0
6.1201 0.0000 0.0000
0.0000 6.1201 0.0000
0.0000 0.0000 6.1201
Sr Ti Mn
3 1 1
direct
0.0000 0.0000 0.5000
0.0000 0.5000 0.0000
0.5000 0.0000 0.0000
0.0000 0.0000 0.0000
0.5000 0.5000 0.5000

Record 3
LiPaAlIn PBE-GGA relaxed; energy = -17.48 eV/cell
1.0
0.0000 3.4514 3.4514
3.4514 0.0000 3.4514
3.4514 3.4514 0.0000
Li Pa Al In
1 1 1 1
direct
0.0000 0.0000 0.0000
0.7500 0.7500 0.7500
0.5000 0.5000 0.5000
0.2500 0.2500 0.2500